Below is an optimized crystal structure of KSmSnWO6, with properties calculated at the PBE with a Hubbard U level.

The calculation puts the energy above the most stable polymorph in this dataset at 0.000 eV per atom.

Unit cell a=6.012 b=6.012 c=8.476 alpha=90.00 beta=90.00 gamma=90.00
Fractional coordinates of all 20 atoms:
K  0.000  0.000  0.250
K  0.000  0.000  0.750
Sm  0.000  0.500  0.000
Sm  0.500  0.000  0.500
Sn  0.500  0.500  0.250
Sn  0.500  0.500  0.750
W  0.000  0.500  0.500
W  0.500  0.000  0.000
O  0.000  0.500  0.270
O  0.000  0.500  0.730
O  0.237  0.277  0.500
O  0.237  0.723  0.500
O  0.277  0.237  0.000
O  0.277  0.763  0.000
O  0.500  0.000  0.230
O  0.500  0.000  0.770
O  0.723  0.237  0.000
O  0.723  0.763  0.000
O  0.763  0.277  0.500
O  0.763  0.723  0.500